[1]
## ScHN (PBE)

Data for an optimized crystal structure of ScHN.

Computed properties:
The calculation puts the total energy at -6.834 eV/atom. Its space group is P-1, No. 2.

Lattice parameters (Å, degrees): 3.4282 3.5513 8.5629 93.45 46.77 117.88
Fractional coordinates of all 6 atoms:
H (0.2916, 0.7058, 0.1937)
H (0.3742, 0.2227, 0.9877)
N (0.6799, 0.7821, 0.6881)
N (0.9860, 0.1465, 0.4933)
Sc (0.0578, 0.0354, 0.8279)
Sc (0.6082, 0.8932, 0.3535)

[2]
## ScHSeN2 (PBE)

Data for an optimized crystal structure of ScHSeN2.

Computed properties:
Its space group is P4/mmm, No. 123. For the offset from the most stable computed form, the calculation gives 0 meV per atom.

Lattice parameters (Å, degrees): 4.0024 4.0024 3.2490 90.00 90.00 90.00
Last column: magnetic moment on the atom in μB.
Fractional coordinates of all 5 atoms:
N (0.0000, 0.5000, 0.0000)  0.10
N (0.5000, 0.0000, 0.0000)  0.10
Se (0.0000, 0.0000, 0.5000)  0.00
Sc (0.5000, 0.5000, 0.5000)  -0.01
H (0.0000, 0.0000, 0.0000)  0.00

[3]
## ScHSeN2 (PBE)

Data for an optimized crystal structure of ScHSeN2.

Computed properties:
Its space group is P4/mmm, No. 123. For the offset from the most stable computed form, the calculation gives 414 meV per atom.

Lattice parameters (Å, degrees): 4.2395 4.2395 5.4160 90.00 90.00 90.00
Last column: magnetic moment on the atom in μB.
Fractional coordinates of all 5 atoms:
Se (0.0000, 0.0000, 0.5000)  -0.09
N (0.0000, 0.5000, 0.0000)  1.13
N (0.5000, 0.0000, 0.0000)  1.13
Sc (0.0000, 0.0000, 0.0000)  0.03
H (0.5000, 0.5000, 0.5000)  0.23

[4]
## ScV2HN (PBE)

Data for an optimized crystal structure of ScV2HN.

Computed properties:
The calculation puts the total energy at -7.033 eV/atom. Its space group is P4/mmm, No. 123.

Lattice parameters (Å, degrees): 3.3810 5.1817 3.3810 90.00 90.00 90.00
Fractional coordinates of all 5 atoms:
Sc (0.0000, 0.5000, 0.0000)
N (0.5000, 0.5000, 0.5000)
V (0.0000, 0.0000, 0.5000)
V (0.5000, 0.0000, 0.0000)
H (0.0000, 0.0000, 0.0000)

[5]
## SnHSeN2 (PBE)

Data for an optimized crystal structure of SnHSeN2.

Computed properties:
Its space group is P4/mmm, No. 123. For the offset from the most stable computed form, the calculation gives 94 meV per atom.

Lattice parameters (Å, degrees): 4.0993 4.0993 5.7335 90.00 90.00 90.00
Last column: magnetic moment on the atom in μB.
Fractional coordinates of all 5 atoms:
Sn (0.0000, 0.0000, 0.0000)  -0.07
N (0.5000, 0.0000, 0.0000)  0.96
N (0.0000, 0.5000, 0.0000)  0.96
H (0.5000, 0.5000, 0.5000)  -0.07
Se (0.0000, 0.0000, 0.5000)  0.41

[6]
## SnHSe2N (PBE)

Data for an optimized crystal structure of SnHSe2N.

Computed properties:
Its space group is P4/mmm, No. 123. For the offset from the most stable computed form, the calculation gives 321 meV per atom.

Lattice parameters (Å, degrees): 5.4527 5.4527 4.1369 90.00 90.00 90.00
Last column: magnetic moment on the atom in μB.
Fractional coordinates of all 5 atoms:
H (0.5000, 0.5000, 0.5000)  0.36
Se (0.0000, 0.5000, 0.0000)  0.56
Se (0.5000, 0.0000, 0.0000)  0.56
Sn (0.0000, 0.0000, 0.0000)  -0.05
N (0.0000, 0.0000, 0.5000)  0.82

[7]
## SnHSeN2 (PBE)

Data for an optimized crystal structure of SnHSeN2.

Computed properties:
Its space group is P4/mmm, No. 123. For the offset from the most stable computed form, the calculation gives 0 meV per atom.

Lattice parameters (Å, degrees): 4.2911 4.2911 3.2544 90.00 90.00 90.00
Last column: magnetic moment on the atom in μB.
Fractional coordinates of all 5 atoms:
N (0.5000, 0.0000, 0.0000)  0.28
N (0.0000, 0.5000, 0.0000)  0.28
H (0.0000, 0.0000, 0.0000)  0.01
Se (0.0000, 0.0000, 0.5000)  -0.01
Sn (0.5000, 0.5000, 0.5000)  0.00

[8]
## SnHSe2N (PBE)

Data for an optimized crystal structure of SnHSe2N.

Computed properties:
Its space group is P4/mmm, No. 123. For the offset from the most stable computed form, the calculation gives 0 meV per atom.

Lattice parameters (Å, degrees): 3.6896 3.6896 7.2484 90.00 90.00 90.00
Last column: magnetic moment on the atom in μB.
Fractional coordinates of all 5 atoms:
Sn (0.5000, 0.5000, 0.5000)  0.00
N (0.0000, 0.0000, 0.5000)  0.16
Se (0.5000, 0.0000, 0.0000)  0.00
Se (0.0000, 0.5000, 0.0000)  0.00
H (0.0000, 0.0000, 0.0000)  0.00

[9]
## SrH2SeN (PBE)

Data for an optimized crystal structure of SrH2SeN.

Computed properties:
The calculation puts the total energy at -3.674 eV/atom. Its space group is I4cm, No. 108.

Lattice parameters (Å, degrees): 6.8121 6.8121 6.5480 121.34 121.34 90.00
Last column: magnetic moment on the atom in μB.
Fractional coordinates of all 10 atoms:
Se (0.2126, 0.7126, 0.4252)  0.00
Se (0.7126, 0.2126, 0.4252)  0.00
Sr (0.1815, 0.1815, 0.3630)  0.00
Sr (0.6815, 0.6815, 0.3630)  0.00
H (0.4463, 0.7285, 0.6749)  0.00
H (0.9463, 0.4463, 0.6749)  0.00
H (0.2285, 0.9463, 0.6749)  0.00
H (0.7285, 0.2285, 0.6749)  0.00
N (0.9313, 0.9313, 0.8625)  0.18
N (0.4313, 0.4313, 0.8625)  0.18

[10]
## SrHSeN2 (PBE)

Data for an optimized crystal structure of SrHSeN2.

Computed properties:
Its space group is P4/mmm, No. 123. For the offset from the most stable computed form, the calculation gives 818 meV per atom.

Lattice parameters (Å, degrees): 5.1685 5.1685 6.1634 90.00 90.00 90.00
Last column: magnetic moment on the atom in μB.
Fractional coordinates of all 5 atoms:
Se (0.0000, 0.0000, 0.5000)  0.20
Sr (0.0000, 0.0000, 0.0000)  0.03
N (0.5000, 0.0000, 0.0000)  1.51
N (0.0000, 0.5000, 0.0000)  1.51
H (0.5000, 0.5000, 0.5000)  0.35

[11]
## SrHSeN2 (PBE)

Data for an optimized crystal structure of SrHSeN2.

Computed properties:
Its space group is P4/mmm, No. 123. For the offset from the most stable computed form, the calculation gives 0 meV per atom.

Lattice parameters (Å, degrees): 4.3574 4.3574 3.5011 90.00 90.00 90.00
Last column: magnetic moment on the atom in μB.
Fractional coordinates of all 5 atoms:
Se (0.0000, 0.0000, 0.5000)  -0.03
H (0.0000, 0.0000, 0.0000)  -0.01
N (0.0000, 0.5000, 0.0000)  0.54
N (0.5000, 0.0000, 0.0000)  0.54
Sr (0.5000, 0.5000, 0.5000)  -0.01

[12]
## ZnTeH12Se3N4 (PBE)

Data for an optimized crystal structure of ZnTeH12Se3N4.

Computed properties:
The calculation puts the total energy at -4.589 eV/atom. Its space group is Pca2_1, No. 29.

Lattice parameters (Å, degrees): 6.6267 13.8599 13.8246 90.00 90.00 90.00
Fractional coordinates of all 84 atoms:
H (0.0487, 0.2710, 0.3417)
H (0.9353, 0.5654, 0.8841)
H (0.3531, 0.5265, 0.7806)
H (0.0886, 0.9407, 0.9283)
H (0.0647, 0.5654, 0.3841)
H (0.0487, 0.7710, 0.1583)
H (0.2352, 0.9783, 0.1075)
H (0.9272, 0.2539, 0.2386)
H (0.3531, 0.0265, 0.7194)
H (0.8380, 0.9346, 0.9182)
H (0.9272, 0.7539, 0.2614)
H (0.8231, 0.2687, 0.7391)
H (0.0456, 0.5394, 0.0915)
H (0.9544, 0.0394, 0.9085)
H (0.9353, 0.0654, 0.6159)
H (0.1769, 0.7687, 0.2609)
H (0.7411, 0.0642, 0.6893)
H (0.8380, 0.4346, 0.5818)
H (0.9513, 0.2710, 0.8417)
H (0.0728, 0.2539, 0.7386)
H (0.0728, 0.7539, 0.7614)
H (0.7648, 0.9783, 0.6075)
H (0.8231, 0.7687, 0.7609)
H (0.1620, 0.9346, 0.4182)
H (0.0647, 0.0654, 0.1159)
H (0.6070, 0.4218, 0.2249)
H (0.6469, 0.5265, 0.2806)
H (0.3930, 0.4218, 0.7249)
H (0.9114, 0.4407, 0.0717)
H (0.2589, 0.0642, 0.1893)
H (0.9114, 0.9407, 0.4283)
H (0.6402, 0.4248, 0.3440)
H (0.2352, 0.4783, 0.3925)
H (0.3598, 0.9248, 0.6560)
H (0.9513, 0.7710, 0.6583)
H (0.2589, 0.5642, 0.3107)
H (0.1620, 0.4346, 0.0818)
H (0.6070, 0.9218, 0.2751)
H (0.0456, 0.0394, 0.4085)
H (0.6469, 0.0265, 0.2194)
H (0.7411, 0.5642, 0.8107)
H (0.0886, 0.4407, 0.5717)
H (0.7648, 0.4783, 0.8925)
H (0.6402, 0.9248, 0.1560)
H (0.9544, 0.5394, 0.5915)
H (0.3930, 0.9218, 0.7751)
H (0.3598, 0.4248, 0.8440)
H (0.1769, 0.2687, 0.2391)
Se (0.4636, 0.1991, 0.7173)
Se (0.5364, 0.1991, 0.2173)
Se (0.0549, 0.2029, 0.5082)
Se (0.4701, 0.9089, 0.9779)
Se (0.5299, 0.4089, 0.0221)
Se (0.9451, 0.7029, 0.4918)
Se (0.5364, 0.6991, 0.2827)
Se (0.5299, 0.9089, 0.4779)
Se (0.9451, 0.2029, 0.0082)
Se (0.4701, 0.4089, 0.5221)
Se (0.4636, 0.6991, 0.7827)
Se (0.0549, 0.7029, 0.9918)
N (0.6880, 0.4544, 0.2794)
N (0.0435, 0.2922, 0.2698)
N (0.6880, 0.9544, 0.2206)
N (0.3120, 0.9544, 0.7206)
N (0.9565, 0.2922, 0.7698)
N (0.3120, 0.4544, 0.7794)
N (0.9565, 0.7922, 0.7302)
N (0.1542, 0.0194, 0.1566)
N (0.9660, 0.4672, 0.6094)
N (0.0340, 0.4672, 0.1094)
N (0.9660, 0.9672, 0.8906)
N (0.1542, 0.5194, 0.3434)
N (0.0340, 0.9672, 0.3906)
N (0.0435, 0.7922, 0.2302)
N (0.8458, 0.5194, 0.8434)
N (0.8458, 0.0194, 0.6566)
Te (0.5749, 0.7286, 0.4618)
Te (0.5749, 0.2286, 0.0382)
Te (0.4251, 0.7286, 0.9618)
Te (0.4251, 0.2286, 0.5382)
Zn (0.0110, 0.9355, 0.7480)
Zn (0.9890, 0.9355, 0.2480)
Zn (0.9890, 0.4355, 0.2520)
Zn (0.0110, 0.4355, 0.7520)